1.
This record from Alexandria describes a geometry-optimized SnMoOF2 structure. The functional is PBE with a Hubbard U.

```
data_SnMoOF2
_chemical_formula_sum 'Sn1 Mo1 O1 F2'
_cell_length_a 4.327
_cell_length_b 4.327
_cell_length_c 4.228
_cell_angle_alpha 90.00
_cell_angle_beta 90.00
_cell_angle_gamma 90.00
_space_group_name_H-M_alt 'P 4/m m m'
_space_group_IT_number 123
_space_group_name_Hall '-P 4 2'
loop_
_atom_site_label
_atom_site_fract_x
_atom_site_fract_y
_atom_site_fract_z
Sn1 0.000 0.000 0.000
Mo1 0.500 0.500 0.500
O1 0.500 0.500 0.000
F1 0.000 0.500 0.500
```


2.
This record from Alexandria describes a geometry-optimized Na3MoCl2F6 structure. The functional is PBE with a Hubbard U.

```
data_Na3MoCl2F6
_chemical_formula_sum 'Na6 Mo2 Cl4 F12'
_cell_length_a 13.879
_cell_length_b 7.002
_cell_length_c 4.718
_cell_angle_alpha 90.00
_cell_angle_beta 90.55
_cell_angle_gamma 90.00
_space_group_name_H-M_alt 'C 1 2/m 1'
_space_group_IT_number 12
_space_group_name_Hall '-C 2y'
loop_
_atom_site_label
_atom_site_fract_x
_atom_site_fract_y
_atom_site_fract_z
Na1 0.000 0.000 0.000
Na2 0.250 0.250 0.500
Mo1 0.000 0.500 0.500
Cl1 0.186 0.000 0.874
F1 0.044 0.298 0.259
F2 0.130 0.500 0.657
```


no.,energy (eV/atom)
1,-5.3946
2,-4.4167